1.
ZnCd5Ag2: optimized geometry, GGA-PBE.

a b c (Å): 7.9807 7.9807 7.9807
angles (deg): 124.49 124.49 82.38
With the nearest neighbours (Å) after each atom.
Fractional coordinates of all 16 atoms:
Zn: 0.2500 0.2500 0.0000  10 Cd 3.00-3.01
Zn: 0.7500 0.7500 0.0000  10 Cd 3.00-3.01
Cd: 0.0000 0.0000 0.0000  4 Ag 2.88, 2 Zn 3.00
Cd: 0.0061 0.5061 0.1896  3 Ag 2.91-2.92, 3 Cd 2.92-3.14, 2 Zn 3.01
Cd: 0.1836 0.9939 0.5000  3 Ag 2.91-2.92, 3 Cd 2.92-3.14, 2 Zn 3.01
Cd: 0.3164 0.8164 0.8104  3 Ag 2.91-2.92, 3 Cd 2.92-3.14, 2 Zn 3.01
Cd: 0.4939 0.6836 0.5000  3 Ag 2.91-2.92, 3 Cd 2.92-3.14, 2 Zn 3.01
Cd: 0.5000 0.5000 0.0000  4 Ag 2.88, 2 Zn 3.00
Cd: 0.5061 0.3164 0.5000  3 Ag 2.91-2.92, 3 Cd 2.92-3.14, 2 Zn 3.01
Cd: 0.6836 0.1836 0.1896  3 Ag 2.91-2.92, 3 Cd 2.92-3.14, 2 Zn 3.01
Cd: 0.8164 0.0061 0.5000  3 Ag 2.91-2.92, 3 Cd 2.92-3.14, 2 Zn 3.01
Cd: 0.9939 0.4939 0.8104  3 Ag 2.91-2.92, 3 Cd 2.92-3.14, 2 Zn 3.01
Ag: 0.1383 0.3617 0.5000  8 Cd 2.88-2.92, 1 Ag 2.91
Ag: 0.3617 0.8617 0.2233  8 Cd 2.88-2.92, 1 Ag 2.91
Ag: 0.6383 0.1383 0.7767  8 Cd 2.88-2.92, 1 Ag 2.91
Ag: 0.8617 0.6383 0.5000  8 Cd 2.88-2.92, 1 Ag 2.91

Summary:
Symmetry = I4/mcm (140)
Total magnetic moment = 0.0 μB/cell
Formation energy = 0.052 eV/atom
Offset from the most stable computed form = 27 meV/atom

---

2.
ZnCdAg: optimized geometry, GGA-PBE.

a b c (Å): 8.5904 7.6369 6.5284
angles (deg): 74.20 58.81 46.99
With the nearest neighbours (Å) after each atom.
Fractional coordinates of all 12 atoms:
Zn: 0.0000 0.0000 0.0000  2 Ag 2.56
Zn: 0.0000 0.0000 0.5000  2 Ag 2.56
Zn: 0.0000 0.5000 0.0000  2 Ag 2.56
Zn: 0.5000 0.0000 0.0000  2 Ag 2.56
Cd: 0.1829 0.1829 0.5671  4 Ag 2.84-2.92, 2 Zn 2.94
Cd: 0.4329 0.4329 0.8171  4 Ag 2.84-2.92, 2 Zn 2.94
Cd: 0.5671 0.5671 0.1829  4 Ag 2.84-2.92, 2 Zn 2.94
Cd: 0.8171 0.8171 0.4329  4 Ag 2.84-2.92, 2 Zn 2.94
Ag: 0.1881 0.5619 0.5619  2 Zn 2.56, 1 Ag 2.76, 2 Cd 2.84
Ag: 0.4381 0.8119 0.8119  2 Zn 2.56, 1 Ag 2.76, 2 Cd 2.84
Ag: 0.5619 0.1881 0.1881  2 Zn 2.56, 1 Ag 2.76, 2 Cd 2.84
Ag: 0.8119 0.4381 0.4381  2 Zn 2.56, 1 Ag 2.76, 2 Cd 2.84

Summary:
Symmetry = Fddd (70)
Total magnetic moment = 0.0 μB/cell
Formation energy = 0.177 eV/atom
Offset from the most stable computed form = 191 meV/atom

---

3.
ZnCd6Ag: optimized geometry, GGA-PBE.

a b c (Å): 4.6858 4.7096 8.3835
angles (deg): 75.10 75.27 78.47
With the nearest neighbours (Å) after each atom.
Fractional coordinates of all 8 atoms:
Zn: 0.0000 0.0000 0.0000  8 Cd 2.87-3.05, 2 Ag 2.97
Cd: 0.1035 0.6051 0.7727  2 Ag 2.88-3.03, 2 Zn 2.88-3.05, 4 Cd 2.96-3.04
Cd: 0.2508 0.2503 0.4994  6 Cd 2.97-3.04
Cd: 0.3952 0.8962 0.2273  2 Zn 2.87-3.04, 2 Ag 2.89-3.04, 4 Cd 2.96-3.03
Cd: 0.6048 0.1038 0.7727  2 Zn 2.87-3.04, 2 Ag 2.89-3.04, 4 Cd 2.96-3.03
Cd: 0.7492 0.7497 0.5006  6 Cd 2.97-3.04
Cd: 0.8965 0.3949 0.2273  2 Ag 2.88-3.03, 2 Zn 2.88-3.05, 4 Cd 2.96-3.04
Ag: 0.5000 0.5000 0.0000  8 Cd 2.88-3.04, 2 Zn 2.97

Summary:
Symmetry = P-1 (2)
Total magnetic moment = 0.0 μB/cell
Formation energy = 0.018 eV/atom
Offset from the most stable computed form = 0 meV/atom

---

4.
ZnCdAg: optimized geometry, GGA-PBE.

a b c (Å): 6.4491 6.4491 6.4491
angles (deg): 153.29 153.29 38.13
With the nearest neighbours (Å) after each atom.
Fractional coordinates of all 3 atoms:
Zn: 0.0000 0.0000 0.0000  4 Ag 2.80, 4 Cd 2.94, 4 Zn 2.98
Cd: 0.6685 0.6685 0.0000  4 Zn 2.94, 4 Cd 2.98, 4 Ag 3.05
Ag: 0.3492 0.3492 0.0000  4 Zn 2.80, 4 Ag 2.98, 4 Cd 3.05

Summary:
Symmetry = I4mm (107)
Total magnetic moment = 0.0 μB/cell
Formation energy = 0.004 eV/atom
Offset from the most stable computed form = 18 meV/atom

---

5.
Zn2CdAg: optimized geometry, GGA-PBE.

a b c (Å): 4.9836 4.9836 4.9836
angles (deg): 130.75 130.75 72.22
With the nearest neighbours (Å) after each atom.
Fractional coordinates of all 4 atoms:
Zn: 0.2500 0.7500 0.5000  4 Ag 2.89, 4 Cd 2.89, 4 Zn 2.94
Zn: 0.7500 0.2500 0.5000  4 Ag 2.89, 4 Cd 2.89, 4 Zn 2.94
Cd: 0.0000 0.0000 0.0000  8 Zn 2.89, 4 Ag 2.94
Ag: 0.5000 0.5000 0.0000  8 Zn 2.89, 4 Cd 2.94

Summary:
Symmetry = I4/mmm (139)
Total magnetic moment = 0.0 μB/cell
Formation energy = 0.037 eV/atom

---

6.
ZnCd3Ag: optimized geometry, GGA-PBE.

a b c (Å): 5.3393 5.3393 5.3393
angles (deg): 90.00 90.00 90.00
With the nearest neighbours (Å) after each atom.
Fractional coordinates of all 5 atoms:
Zn: 0.0000 0.0000 0.0000  12 Cd 3.78
Cd: 0.0000 0.5000 0.5000  2 Ag 2.67
Cd: 0.5000 0.0000 0.5000  2 Ag 2.67
Cd: 0.5000 0.5000 0.0000  2 Ag 2.67
Ag: 0.5000 0.5000 0.5000  6 Cd 2.67

Summary:
Symmetry = Pm-3m (221)
Total magnetic moment = 0.0 μB/cell
Formation energy = 0.346 eV/atom
Offset from the most stable computed form = 323 meV/atom

---

7.
Zn8CdAg6: optimized geometry, GGA-PBE.

a b c (Å): 5.0005 7.5534 7.5588
angles (deg): 66.09 77.68 71.64
With the nearest neighbours (Å) after each atom.
Fractional coordinates of all 15 atoms:
Zn: 0.0210 0.0304 0.1657  7 Ag 2.75-2.89, 5 Zn 2.78-2.99
Zn: 0.0985 0.2919 0.4999  4 Zn 2.78-2.98, 6 Ag 2.79-2.91, 2 Cd 2.91
Zn: 0.1764 0.5658 0.8381  6 Zn 2.72-2.93, 5 Ag 2.73-2.93, 1 Cd 2.86
Zn: 0.4034 0.2357 0.1651  6 Zn 2.78-2.99, 6 Ag 2.79-2.92
Zn: 0.5966 0.7643 0.8349  6 Zn 2.78-2.99, 6 Ag 2.79-2.92
Zn: 0.8236 0.4342 0.1619  6 Zn 2.72-2.93, 5 Ag 2.73-2.93, 1 Cd 2.86
Zn: 0.9015 0.7081 0.5001  4 Zn 2.78-2.98, 6 Ag 2.79-2.91, 2 Cd 2.91
Zn: 0.9790 0.9696 0.8343  7 Ag 2.75-2.89, 5 Zn 2.78-2.99
Cd: 0.5000 0.5000 0.5000  6 Zn 2.86-2.91, 6 Ag 2.86-2.91
Ag: 0.2166 0.6298 0.1603  9 Zn 2.73-2.93, 1 Cd 2.86, 2 Ag 2.90-2.96
Ag: 0.2957 0.8981 0.5137  8 Zn 2.75-2.92, 3 Ag 2.85-2.90, 1 Cd 2.89
Ag: 0.3791 0.1580 0.8346  7 Zn 2.76-2.93, 4 Ag 2.84-2.96, 1 Cd 2.91
Ag: 0.6209 0.8420 0.1654  7 Zn 2.76-2.93, 4 Ag 2.84-2.96, 1 Cd 2.91
Ag: 0.7043 0.1019 0.4863  8 Zn 2.75-2.92, 3 Ag 2.85-2.90, 1 Cd 2.89
Ag: 0.7834 0.3702 0.8397  9 Zn 2.73-2.93, 1 Cd 2.86, 2 Ag 2.90-2.96

Summary:
Symmetry = P-1 (2)
Total magnetic moment = 0.0 μB/cell
Formation energy = -0.027 eV/atom

---

8.
Zn4Cd2Ag: optimized geometry, GGA-PBE.

a b c (Å): 9.3607 9.3607 9.3607
angles (deg): 160.57 152.22 34.13
With the nearest neighbours (Å) after each atom.
Fractional coordinates of all 7 atoms:
Zn: 0.0797 0.0797 0.0000  2 Ag 2.66, 5 Zn 2.85, 2 Cd 2.95
Zn: 0.3769 0.3769 0.0000  2 Ag 2.71, 2 Cd 2.83, 4 Zn 2.85
Zn: 0.6231 0.6231 0.0000  2 Ag 2.71, 2 Cd 2.83, 4 Zn 2.85
Zn: 0.9203 0.9203 0.0000  2 Ag 2.66, 5 Zn 2.85, 2 Cd 2.95
Cd: 0.2188 0.7188 0.5000  4 Zn 2.83-2.95, 6 Cd 2.96-3.16
Cd: 0.7812 0.2812 0.5000  4 Zn 2.83-2.95, 6 Cd 2.96-3.16
Ag: 0.5000 0.0000 0.5000  8 Zn 2.66-2.71

Summary:
Symmetry = Immm (71)
Total magnetic moment = 0.0 μB/cell
Formation energy = 0.042 eV/atom

---

Copy entry 4 word for word.
ZnCdAg: optimized geometry, GGA-PBE.

a b c (Å): 6.4491 6.4491 6.4491
angles (deg): 153.29 153.29 38.13
With the nearest neighbours (Å) after each atom.
Fractional coordinates of all 3 atoms:
Zn: 0.0000 0.0000 0.0000  4 Ag 2.80, 4 Cd 2.94, 4 Zn 2.98
Cd: 0.6685 0.6685 0.0000  4 Zn 2.94, 4 Cd 2.98, 4 Ag 3.05
Ag: 0.3492 0.3492 0.0000  4 Zn 2.80, 4 Ag 2.98, 4 Cd 3.05

Summary:
Symmetry = I4mm (107)
Total magnetic moment = 0.0 μB/cell
Formation energy = 0.004 eV/atom
Offset from the most stable computed form = 18 meV/atom

---

Look up the total magnetic moment of the first one.
0.0 μB/cell

---

formation energy of number 2 (ZnCdAg)?
0.177 eV/atom